No. 1
VASP calculation (PBE) on crystalline InSn at its relaxed geometry.

Calculated values
**Symmetry**: Pmn2_1
**Energy of formation**: 0.14 eV/atom

Geometry as extended XYZ:
```
12
Lattice="-7.626 10.473 -4.684 -4.103 -1.972 2.270 1.166 2.931 4.655" Properties=species:S:1:pos:R:3 pbc="T T T"
In -7.288 10.087 1.298
In -6.837 7.211 -0.401
In -2.446 3.437 4.272
In -4.053 3.388 1.309
In -3.610 -0.870 3.931
In -2.872 7.740 1.721
Sn -5.943 8.881 -3.021
Sn -8.643 7.256 2.075
Sn -1.315 2.524 -0.178
Sn -5.646 3.140 3.916
Sn -1.282 0.815 3.909
Sn -5.809 4.523 -0.688
```

No. 2
VASP calculation (PBE) on crystalline Sr8InSn2 at its relaxed geometry.

Calculated values
**Symmetry**: Immm
**Energy of formation**: -0.33 eV/atom

Geometry as extended XYZ:
```
11
Lattice="-1.282 -5.018 -2.254 5.053 1.959 -7.236 4.848 -1.888 8.522" Properties=species:S:1:pos:R:3 pbc="T T T"
Sr 5.095 -2.162 -5.162
Sr 5.750 -1.922 1.007
Sr 2.001 -1.015 1.122
Sr 1.554 0.602 -2.224
Sr 6.618 -3.932 -2.090
Sr 2.869 -3.025 -1.975
Sr 3.524 -2.785 4.195
Sr 7.065 -5.549 1.257
In -0.641 -2.509 -1.127
Sn 5.094 -0.324 -2.178
Sn 3.525 -4.624 1.210
```

No. 3
VASP calculation (PBE) on crystalline Sr2InSn at its relaxed geometry.

Calculated values
**Symmetry**: Fm-3m
**Energy of formation**: -0.51 eV/atom

Geometry as extended XYZ:
```
4
Lattice="0.000 4.060 4.060 4.060 0.000 4.060 4.060 4.060 0.000" Properties=species:S:1:pos:R:3 pbc="T T T"
Sr 2.030 2.030 2.030
Sr 6.090 6.090 6.090
Sn 4.060 4.060 4.060
In 0.000 0.000 0.000
```

No. 4
VASP calculation (PBE) on crystalline SrInSn at its relaxed geometry.

Calculated values
**Symmetry**: P2_1/m
**Energy of formation**: -0.47 eV/atom

Geometry as extended XYZ:
```
18
Lattice="4.886 0.000 0.000 0.000 8.147 0.337 0.000 0.542 14.332" Properties=species:S:1:pos:R:3 pbc="T T T"
Sr 3.664 4.504 5.569
Sr 1.221 8.305 10.379
Sr 3.664 0.383 4.290
Sr 3.664 5.441 1.463
Sr 1.221 4.185 9.100
Sr 1.221 3.248 13.206
In 1.221 0.062 1.272
In 1.221 7.153 6.763
In 3.664 5.592 11.588
In 3.664 1.536 7.906
In 1.221 3.097 3.081
In 3.664 8.627 13.397
Sn 1.221 6.690 13.316
Sn 3.664 2.519 10.839
Sn 3.664 6.549 8.474
Sn 3.664 1.999 1.353
Sn 1.221 2.140 6.195
Sn 1.221 6.169 3.830
```

No. 5
VASP calculation (PBE) on crystalline SrIn6Sn5 at its relaxed geometry.

Calculated values
**Symmetry**: C2/m
**Energy of formation**: -0.08 eV/atom

Geometry as extended XYZ:
```
12
Lattice="-3.745 -2.603 -1.214 6.314 -1.868 -6.237 3.064 -3.692 7.697" Properties=species:S:1:pos:R:3 pbc="T T T"
Sr 0.000 0.000 0.000
Sn 1.783 -4.662 4.554
Sn 4.161 -3.076 2.994
Sn 2.816 -4.081 0.123
Sn 1.472 -5.087 -2.748
Sn 3.850 -3.501 -4.308
In 0.864 -2.369 2.416
In 3.669 -6.411 2.542
In -0.402 -3.453 -0.546
In 6.035 -4.710 0.791
In 1.963 -1.752 -2.296
In 4.769 -5.794 -2.171
```

No. 6
VASP calculation (PBE) on crystalline Sr3In4Sn2 at its relaxed geometry.

Calculated values
**Symmetry**: C2/m
**Energy of formation**: -0.47 eV/atom

Geometry as extended XYZ:
```
9
Lattice="-0.783 3.444 3.415 5.232 0.551 4.179 6.204 7.455 -2.561" Properties=species:S:1:pos:R:3 pbc="T T T"
Sr 7.556 6.301 2.447
Sr 0.000 0.000 0.000
Sr 3.096 5.149 2.586
In 2.535 1.704 2.397
In 8.117 9.745 2.636
In 5.865 5.080 -0.243
In 4.787 6.370 5.276
Sn 6.376 3.951 4.546
Sn 4.276 7.498 0.487
```

No. 7
VASP calculation (PBE) on crystalline SrIn7Sn4 at its relaxed geometry.

Calculated values
**Symmetry**: P-1
**Energy of formation**: -0.08 eV/atom

Geometry as extended XYZ:
```
12
Lattice="-2.439 4.367 5.223 -8.728 -1.572 7.077 6.495 -0.728 1.711" Properties=species:S:1:pos:R:3 pbc="T T T"
Sr 0.000 0.000 0.000
In -5.165 2.472 10.469
In 0.493 -0.405 3.542
In 0.551 -1.640 6.546
In -5.223 3.707 7.465
In -0.966 0.981 6.244
In -1.219 2.183 2.612
In -3.706 1.086 7.767
Sn 1.090 2.892 5.084
Sn -5.762 -0.825 8.927
Sn -0.973 0.871 9.407
Sn -3.699 1.196 4.604
```

No. 8
VASP calculation (PBE) on crystalline Sr8In2Sn at its relaxed geometry.

Calculated values
**Symmetry**: C2/m
**Energy of formation**: -0.33 eV/atom

Geometry as extended XYZ:
```
11
Lattice="-2.259 -1.359 5.177 0.118 -7.946 -2.034 9.811 3.305 1.887" Properties=species:S:1:pos:R:3 pbc="T T T"
Sr 7.048 -2.294 2.472
Sr 1.870 -7.381 2.138
Sr 4.158 -4.682 3.845
Sr 7.121 0.085 6.388
Sr 3.512 -1.319 1.186
Sr 5.799 1.380 2.892
Sr 0.622 -3.706 2.558
Sr 0.549 -6.085 -1.358
In 4.457 -1.441 4.826
In 3.213 -4.559 0.205
Sn -1.129 -0.679 2.589
```

No. 9
VASP calculation (PBE) on crystalline SrIn2Sn at its relaxed geometry.

Calculated values
**Symmetry**: P4/mmm
**Energy of formation**: -0.27 eV/atom

Geometry as extended XYZ:
```
4
Lattice="4.011 0.000 0.000 0.000 4.011 0.000 0.000 0.000 7.453" Properties=species:S:1:pos:R:3 pbc="T T T"
Sr 2.006 2.006 3.727
Sn 2.006 2.006 0.000
In 0.000 0.000 5.901
In 0.000 0.000 1.552
```

No. 10
VASP calculation (PBE) on crystalline Sr3In2Sn3 at its relaxed geometry.

Calculated values
**Symmetry**: Cmcm
**Energy of formation**: -0.43 eV/atom

Geometry as extended XYZ:
```
16
Lattice="5.305 0.000 0.000 -2.653 6.002 0.000 0.000 0.000 15.922" Properties=species:S:1:pos:R:3 pbc="T T T"
Sr 2.653 1.757 0.468
Sr 0.000 4.245 8.429
Sr 2.653 1.757 7.493
Sr 0.000 4.245 15.454
Sr 0.000 5.614 3.980
Sr 2.653 0.388 11.941
In 2.653 3.750 10.423
In 0.000 2.252 2.462
In 2.653 3.750 13.459
In 0.000 2.252 5.498
Sn 2.653 5.372 1.542
Sn 0.000 0.630 9.502
Sn 2.653 5.372 6.419
Sn 0.000 0.630 14.380
Sn 2.653 3.185 3.980
Sn 0.000 2.817 11.941
```

No. 11
VASP calculation (PBE) on crystalline Sr8In2Sn at its relaxed geometry.

Calculated values
**Symmetry**: Immm
**Energy of formation**: -0.28 eV/atom

Geometry as extended XYZ:
```
11
Lattice="5.454 0.000 -1.660 -1.349 7.806 -4.433 0.071 0.427 10.024" Properties=species:S:1:pos:R:3 pbc="T T T"
Sr 2.426 7.004 -1.818
Sr 1.152 4.688 3.784
Sr 0.630 1.284 2.069
Sr -0.412 2.382 -1.353
Sr 3.546 6.949 1.862
Sr 3.024 3.545 0.147
Sr 1.750 1.228 5.749
Sr 4.588 5.851 5.284
In 0.123 5.529 0.403
In 4.054 2.704 3.528
Sn 2.727 0.000 -0.830
```

No. 12
VASP calculation (PBE) on crystalline Sr2In2Sn3 at its relaxed geometry.

Calculated values
**Symmetry**: C2/m
**Energy of formation**: -0.42 eV/atom

Geometry as extended XYZ:
```
7
Lattice="4.689 0.000 0.000 -2.345 5.702 -2.315 0.000 0.675 7.793" Properties=species:S:1:pos:R:3 pbc="T T T"
Sr 2.345 4.357 0.021
Sr 0.000 2.021 5.457
In 2.345 4.330 4.386
In 0.000 2.047 1.092
Sn 2.345 0.000 0.000
Sn 2.345 1.484 2.930
Sn 0.000 4.894 2.548
```